DFT (PBE-GGA) results for a geometry-optimized NaBBr structure.

POSCAR file:
```
NaBBr
1.0
5.8145 0.0000 0.0000
0.0000 7.7691 -1.4401
0.0000 -1.5255 6.4904
Br Na B
4 4 4
Cartesian
4.7831 5.8711 3.1890
1.0314 0.3726 1.8614
1.8759 4.2571 1.1414
3.9386 1.9865 3.9090
1.4354 4.1006 4.3068
1.4718 0.2160 5.0268
4.3427 6.0277 0.0236
4.3791 2.1431 0.7436
5.3642 2.2567 5.2099
2.4569 0.1024 0.5606
0.4504 3.9870 -0.1595
3.3576 6.1413 4.4898
```

Computed properties:
E_form (uncorrected) (eV/atom): -0.105
DOS(E_F) (states/eV/f.u.): 0.0